Material: Y2HoAg3
Method: DFT, GGA-PBE
State: relaxed

a = 3.6206 Å, b = 3.6206 Å, c = 11.0026 Å
α = 90.00°, β = 90.00°, γ = 90.00°
Space group P4/mmm (No. 123)
Asymmetric unit:
Y 0.0000 0.0000 0.1675 x2
Ho 0.0000 0.0000 0.5000 x1
Ag 0.5000 0.5000 0.0000 x1
Ag 0.5000 0.5000 0.3362 x2

Values from the calculation:
M_tot   0.000 μB/f.u.
Calculated volume   24.04 A^3/atom
Calculated density   7.7 g/cm3
E_tot   -4.68 eV/atom
ΔE_f   -0.33 eV per atom